1.
## Hf4Co3Mo2C3 (PBE)

Data for crystalline Hf4Co3Mo2C3 at its relaxed geometry.

a = 5.5420 Å, b = 5.5420 Å, c = 13.4046 Å
α = 102.33°, β = 102.33°, γ = 57.11°
Last column: nearest neighbours and their distance in Å.
Positions (direct):
Hf (0.0419, 0.1970, 0.1060)  3 C 2.22-2.32
Hf (0.1291, 0.3009, 0.3941)  3 C 2.25-2.30, 1 Co 2.50
Hf (0.1970, 0.0419, 0.6060)  3 C 2.22-2.32
Hf (0.3009, 0.1291, 0.8941)  3 C 2.25-2.30, 1 Co 2.50
Hf (0.6991, 0.8709, 0.1059)  3 C 2.25-2.30, 1 Co 2.50
Hf (0.8030, 0.9581, 0.3940)  3 C 2.22-2.32
Hf (0.8709, 0.6991, 0.6059)  3 C 2.25-2.30, 1 Co 2.50
Hf (0.9581, 0.8030, 0.8940)  3 C 2.22-2.32
Co (0.1527, 0.8473, 0.7500)  2 Co 2.49, 4 Hf 2.50-2.52
Co (0.3123, 0.4257, 0.2514)  2 Co 2.49-2.56, 2 Mo 2.52, 2 Hf 2.71-2.72
Co (0.4257, 0.3123, 0.7514)  2 Co 2.49-2.56, 2 Mo 2.52, 2 Hf 2.71-2.72
Co (0.5743, 0.6877, 0.2486)  2 Co 2.49-2.56, 2 Mo 2.52, 2 Hf 2.71-2.72
Co (0.6877, 0.5743, 0.7486)  2 Co 2.49-2.56, 2 Mo 2.52, 2 Hf 2.71-2.72
Co (0.8473, 0.1527, 0.2500)  2 Co 2.49, 4 Hf 2.50-2.52
Mo (0.3581, 0.5251, 0.0837)  3 C 2.07-2.16
Mo (0.4749, 0.6419, 0.4163)  3 C 2.07-2.16
Mo (0.5251, 0.3581, 0.5837)  3 C 2.07-2.16
Mo (0.6419, 0.4749, 0.9163)  3 C 2.07-2.16
C (0.0000, 0.5000, 0.0000)  2 Mo 2.12, 4 Hf 2.25-2.31
C (0.1684, 0.6660, 0.5004)  2 Mo 2.07-2.16, 3 Hf 2.22-2.30
C (0.3340, 0.8316, 0.9996)  2 Mo 2.07-2.16, 3 Hf 2.22-2.30
C (0.5000, 0.0000, 0.5000)  2 Mo 2.12, 4 Hf 2.25-2.31
C (0.6660, 0.1684, 0.0004)  2 Mo 2.07-2.16, 3 Hf 2.22-2.30
C (0.8316, 0.3340, 0.4996)  2 Mo 2.07-2.16, 3 Hf 2.22-2.30

Total energy: -9.459 eV per atom
Size of the total moment: 2.65 Bohr magnetons per cell

***

2.
## Hf3CoCN (PBE)

Data for crystalline Hf3CoCN at its relaxed geometry.

a = 3.2160 Å, b = 3.2160 Å, c = 18.3172 Å
α = 90.00°, β = 90.00°, γ = 120.00°
Last column: nearest neighbours and their distance in Å.
Positions (direct):
Hf (0.0000, 0.0000, 0.0000)  6 N 2.26
Hf (0.0000, 0.0000, 0.5000)  6 C 2.32
Hf (0.3333, 0.6667, 0.1466)  3 N 2.32
Hf (0.3333, 0.6667, 0.3544)  3 C 2.26
Hf (0.6667, 0.3333, 0.6456)  3 C 2.26
Hf (0.6667, 0.3333, 0.8534)  3 N 2.32
Co (0.0000, 0.0000, 0.2463)  6 Hf 2.61-2.71
Co (0.0000, 0.0000, 0.7537)  6 Hf 2.61-2.71
C (0.3333, 0.6667, 0.5756)  6 Hf 2.26-2.32
C (0.6667, 0.3333, 0.4244)  6 Hf 2.26-2.32
N (0.3333, 0.6667, 0.9297)  6 Hf 2.26-2.32
N (0.6667, 0.3333, 0.0703)  6 Hf 2.26-2.32

Total energy: -9.989 eV per atom
Size of the total moment: 0.16 Bohr magnetons per cell

***

3.
## Hf4CoNiC2 (PBE)

Data for crystalline Hf4CoNiC2 at its relaxed geometry.

a = 3.2295 Å, b = 3.2295 Å, c = 13.0531 Å
α = 90.00°, β = 90.00°, γ = 120.00°
Last column: nearest neighbours and their distance in Å.
Positions (direct):
Hf (0.0000, 0.0000, 0.1475)  3 C 2.30
Hf (0.0000, 0.0000, 0.8525)  3 C 2.30
Hf (0.3333, 0.6667, 0.3511)  3 C 2.28
Hf (0.3333, 0.6667, 0.6489)  3 C 2.28
Co (0.3333, 0.6667, 0.0000)  6 Hf 2.68
Ni (0.0000, 0.0000, 0.5000)  6 Hf 2.69
C (0.6667, 0.3333, 0.2503)  6 Hf 2.28-2.30
C (0.6667, 0.3333, 0.7497)  6 Hf 2.28-2.30

Total energy: -9.357 eV per atom
Size of the total moment: 0.08 Bohr magnetons per cell

***

4.
## Hf4CoPC2 (PBE)

Data for crystalline Hf4CoPC2 at its relaxed geometry.

a = 3.3306 Å, b = 3.3306 Å, c = 12.5098 Å
α = 90.00°, β = 90.00°, γ = 120.00°
Last column: nearest neighbours and their distance in Å.
Positions (direct):
Hf (0.0000, 0.0000, 0.1441)  3 C 2.29
Hf (0.0000, 0.0000, 0.8559)  3 C 2.29
Hf (0.3333, 0.6667, 0.3514)  3 C 2.35
Hf (0.3333, 0.6667, 0.6486)  3 C 2.35
Co (0.0000, 0.0000, 0.5000)  6 Hf 2.67
P (0.3333, 0.6667, 0.0000)  6 Hf 2.64
C (0.6667, 0.3333, 0.2431)  6 Hf 2.29-2.35
C (0.6667, 0.3333, 0.7569)  6 Hf 2.29-2.35

Total energy: -9.610 eV per atom
Size of the total moment: 0.77 Bohr magnetons per cell

***

5.
## Hf4CoC2S (PBE)

Data for crystalline Hf4CoC2S at its relaxed geometry.

a = 3.3146 Å, b = 3.3146 Å, c = 12.4813 Å
α = 90.00°, β = 90.00°, γ = 120.00°
Last column: nearest neighbours and their distance in Å.
Positions (direct):
Hf (0.0000, 0.0000, 0.1462)  3 C 2.26
Hf (0.0000, 0.0000, 0.8538)  3 C 2.26
Hf (0.6667, 0.3333, 0.3502)  3 C 2.34
Hf (0.6667, 0.3333, 0.6498)  3 C 2.34
Co (0.0000, 0.0000, 0.5000)  6 Hf 2.68
C (0.3333, 0.6667, 0.2430)  6 Hf 2.26-2.34
C (0.3333, 0.6667, 0.7570)  6 Hf 2.26-2.34
S (0.6667, 0.3333, 0.0000)  6 Hf 2.64

Total energy: -9.567 eV per atom
Polymorph energy (0 for the lowest one): 0 meV/atom
Size of the total moment: 0.71 Bohr magnetons per cell

***

6.
## Hf4CoC2S (PBE)

Data for crystalline Hf4CoC2S at its relaxed geometry.

a = 3.3081 Å, b = 3.3081 Å, c = 12.5013 Å
α = 90.00°, β = 90.00°, γ = 120.00°
Last column: nearest neighbours and their distance in Å.
Positions (direct):
Hf (0.0000, 0.0000, 0.1459)  3 C 2.26
Hf (0.0000, 0.0000, 0.8541)  3 C 2.26
Hf (0.3333, 0.6667, 0.3498)  3 C 2.33
Hf (0.3333, 0.6667, 0.6502)  3 C 2.33
Co (0.0000, 0.0000, 0.5000)  6 Hf 2.68
C (0.6667, 0.3333, 0.2429)  6 Hf 2.26-2.33
C (0.6667, 0.3333, 0.7571)  6 Hf 2.26-2.33
S (0.3333, 0.6667, 0.0000)  6 Hf 2.64

Total energy: -9.564 eV per atom
Polymorph energy (0 for the lowest one): 2 meV/atom
Size of the total moment: 0.00 Bohr magnetons per cell

***

7.
## Hf4CoSbC2 (PBE)

Data for crystalline Hf4CoSbC2 at its relaxed geometry.

a = 3.3087 Å, b = 3.3087 Å, c = 13.5497 Å
α = 90.00°, β = 90.00°, γ = 120.00°
Last column: nearest neighbours and their distance in Å.
Positions (direct):
Hf (0.0000, 0.0000, 0.1381)  3 C 2.34
Hf (0.0000, 0.0000, 0.8619)  3 C 2.34
Hf (0.3333, 0.6667, 0.3271)  3 C 2.26
Hf (0.3333, 0.6667, 0.6729)  3 C 2.26
Co (0.3333, 0.6667, 0.0000)  6 Hf 2.67
Sb (0.0000, 0.0000, 0.5000)  6 Hf 3.02, 6 Sb 3.31
C (0.6667, 0.3333, 0.2384)  6 Hf 2.26-2.34
C (0.6667, 0.3333, 0.7616)  6 Hf 2.26-2.34

Total energy: -9.272 eV per atom
Size of the total moment: 0.46 Bohr magnetons per cell

***

8.
## Hf4CoSbC2 (PBE)

Data for crystalline Hf4CoSbC2 at its relaxed geometry.

a = 3.2977 Å, b = 3.2977 Å, c = 13.6041 Å
α = 90.00°, β = 90.00°, γ = 120.00°
Last column: nearest neighbours and their distance in Å.
Positions (direct):
Hf (0.0000, 0.0000, 0.1380)  3 C 2.34
Hf (0.0000, 0.0000, 0.8620)  3 C 2.34
Hf (0.6667, 0.3333, 0.3273)  3 C 2.26
Hf (0.6667, 0.3333, 0.6727)  3 C 2.26
Co (0.6667, 0.3333, 0.0000)  6 Hf 2.67
Sb (0.0000, 0.0000, 0.5000)  6 Hf 3.02, 6 Sb 3.30
C (0.3333, 0.6667, 0.2381)  6 Hf 2.26-2.34
C (0.3333, 0.6667, 0.7619)  6 Hf 2.26-2.34

Total energy: -9.271 eV per atom
Size of the total moment: 0.50 Bohr magnetons per cell

***

9.
## Hf2Sc4Co3C3 (PBE)

Data for crystalline Hf2Sc4Co3C3 at its relaxed geometry.

a = 5.6105 Å, b = 5.6105 Å, c = 13.1890 Å
α = 101.82°, β = 101.82°, γ = 60.12°
Last column: nearest neighbours and their distance in Å.
Positions (direct):
Hf (0.0333, 0.8682, 0.6059)  3 C 2.22-2.31
Hf (0.1318, 0.9667, 0.8941)  3 C 2.22-2.31
Hf (0.8682, 0.0333, 0.1059)  3 C 2.22-2.31
Hf (0.9667, 0.1318, 0.3941)  3 C 2.22-2.31
Sc (0.1983, 0.3661, 0.0960)  3 C 2.24-2.32
Sc (0.3051, 0.4655, 0.4042)  3 C 2.24-2.32
Sc (0.3661, 0.1983, 0.5960)  3 C 2.24-2.32
Sc (0.4655, 0.3051, 0.9042)  3 C 2.24-2.32
Sc (0.5345, 0.6949, 0.0958)  3 C 2.24-2.32
Sc (0.6339, 0.8017, 0.4040)  3 C 2.24-2.32
Sc (0.6949, 0.5345, 0.5958)  3 C 2.24-2.32
Sc (0.8017, 0.6339, 0.9040)  3 C 2.24-2.32
Co (0.0814, 0.4106, 0.7504)  4 Sc 2.54-2.57, 3 Co 2.77-2.81
Co (0.4106, 0.0814, 0.2504)  4 Sc 2.54-2.57, 3 Co 2.77-2.81
Co (0.4126, 0.5874, 0.2500)  4 Sc 2.54-2.56, 2 Co 2.77
Co (0.5874, 0.4126, 0.7500)  4 Sc 2.54-2.56, 2 Co 2.77
Co (0.5894, 0.9186, 0.7496)  4 Sc 2.54-2.57, 3 Co 2.77-2.81
Co (0.9186, 0.5894, 0.2496)  4 Sc 2.54-2.57, 3 Co 2.77-2.81
C (0.0000, 0.5000, 0.5000)  4 Sc 2.24, 2 Hf 2.31
C (0.1539, 0.6920, 0.0000)  2 Hf 2.22-2.23, 4 Sc 2.25-2.32
C (0.3080, 0.8461, 0.5000)  2 Hf 2.22-2.23, 4 Sc 2.25-2.32
C (0.5000, 0.0000, 0.0000)  4 Sc 2.24, 2 Hf 2.31
C (0.6920, 0.1539, 0.5000)  2 Hf 2.22-2.23, 4 Sc 2.25-2.32
C (0.8461, 0.3080, 0.0000)  2 Hf 2.22-2.23, 4 Sc 2.25-2.32

Total energy: -8.149 eV per atom
Size of the total moment: 0.63 Bohr magnetons per cell

***

10.
## Hf4Sc2Co3C3 (PBE)

Data for crystalline Hf4Sc2Co3C3 at its relaxed geometry.

a = 5.5920 Å, b = 5.5920 Å, c = 13.5644 Å
α = 102.50°, β = 102.50°, γ = 59.94°
Last column: nearest neighbours and their distance in Å.
Positions (direct):
Hf (0.0272, 0.2041, 0.0952)  3 C 2.23-2.26
Hf (0.1377, 0.3013, 0.4049)  3 C 2.23-2.26
Hf (0.2041, 0.0272, 0.5952)  3 C 2.23-2.26
Hf (0.3013, 0.1377, 0.9049)  3 C 2.23-2.26
Hf (0.6987, 0.8623, 0.0951)  3 C 2.23-2.26
Hf (0.7959, 0.9728, 0.4048)  3 C 2.23-2.26
Hf (0.8623, 0.6987, 0.5951)  3 C 2.23-2.26
Hf (0.9728, 0.7959, 0.9048)  3 C 2.23-2.26
Sc (0.3744, 0.5400, 0.1143)  3 C 2.40
Sc (0.4600, 0.6256, 0.3857)  3 C 2.40
Sc (0.5400, 0.3744, 0.6143)  3 C 2.40
Sc (0.6256, 0.4600, 0.8857)  3 C 2.40
Co (0.0798, 0.9202, 0.7500)  4 Hf 2.59-2.62, 4 Co 2.78-2.81
Co (0.0964, 0.4146, 0.7503)  4 Hf 2.58-2.62, 4 Co 2.78-2.81
Co (0.4146, 0.0964, 0.2503)  4 Hf 2.58-2.62, 4 Co 2.78-2.81
Co (0.5854, 0.9036, 0.7497)  4 Hf 2.58-2.62, 4 Co 2.78-2.81
Co (0.9036, 0.5854, 0.2497)  4 Hf 2.58-2.62, 4 Co 2.78-2.81
Co (0.9202, 0.0798, 0.2500)  4 Hf 2.59-2.62, 4 Co 2.78-2.81
C (0.0000, 0.5000, 0.0000)  4 Hf 2.24, 2 Sc 2.40
C (0.1650, 0.6675, 0.5000)  4 Hf 2.23-2.26, 2 Sc 2.40
C (0.3325, 0.8350, 0.0000)  4 Hf 2.23-2.26, 2 Sc 2.40
C (0.5000, 0.0000, 0.5000)  4 Hf 2.24, 2 Sc 2.40
C (0.6675, 0.1650, 0.0000)  4 Hf 2.23-2.26, 2 Sc 2.40
C (0.8350, 0.3325, 0.5000)  4 Hf 2.23-2.26, 2 Sc 2.40

Total energy: -8.889 eV per atom
Size of the total moment: 0.04 Bohr magnetons per cell